[1]
# NaPmZnCd GGA-PBE relaxed
# Electronic total energy, eV/atom: -2.197
# Formation energy, eV per atom: -0.132
data_NaPmZnCd
_symmetry_space_group_name_H-M 'F -4 3 m'
_symmetry_Int_Tables_number 216
_symmetry_space_group_name_Hall 'F -4 2 3'
_cell_length_a 7.3332
_cell_length_b 7.3332
_cell_length_c 7.3332
_cell_angle_alpha 90.00
_cell_angle_beta 90.00
_cell_angle_gamma 90.00
loop_
_atom_site_label
_atom_site_fract_x
_atom_site_fract_y
_atom_site_fract_z
Na1 0.0000 0.0000 0.0000
Pm1 0.0000 0.0000 0.5000
Zn1 0.2500 0.2500 0.2500
Cd1 0.2500 0.2500 0.7500


[2]
# NaPrCd3 GGA-PBE relaxed
# Electronic total energy, eV/atom: -1.813
# Formation energy, eV per atom: -0.044
data_NaPrCd3
_symmetry_space_group_name_H-M 'C 1 2/m 1'
_symmetry_Int_Tables_number 12
_cell_length_a 19.5494
_cell_length_b 5.5913
_cell_length_c 5.3179
_cell_angle_alpha 90.00
_cell_angle_beta 105.49
_cell_angle_gamma 90.00
loop_
_symmetry_equiv_pos_as_xyz
'x,y,z'
'-x,-y,-z'
'-x,y,-z'
'x,-y,z'
'x+1/2,y+1/2,z'
'-x+1/2,-y+1/2,-z'
'-x+1/2,y+1/2,-z'
'x+1/2,-y+1/2,z'
loop_
_atom_site_label
_atom_site_fract_x
_atom_site_fract_y
_atom_site_fract_z
Na1 0.1239 0.0000 0.3747
Pr1 0.1059 0.5000 0.8601
Cd1 0.0291 0.0000 0.7786
Cd2 0.2066 0.5000 0.4595
Cd3 0.2095 0.0000 0.9588


[3]
# NaPrCd4 GGA-PBE relaxed
# Polymorph energy (0 for the lowest one), kJ per mole of atoms: 0.0
# Electronic total energy, eV/atom: -1.845
# Formation energy, eV per atom: -0.218
data_NaPrCd4
_symmetry_space_group_name_H-M 'P -1'
_symmetry_Int_Tables_number 2
_cell_length_a 5.0522
_cell_length_b 5.0540
_cell_length_c 7.0239
_cell_angle_alpha 91.01
_cell_angle_beta 90.14
_cell_angle_gamma 119.98
loop_
_symmetry_equiv_pos_as_xyz
'x,y,z'
'-x,-y,-z'
loop_
_atom_site_label
_atom_site_fract_x
_atom_site_fract_y
_atom_site_fract_z
Na1 0.0000 0.0000 0.0000
Pr1 0.0000 0.0000 0.5000
Cd1 0.3311 0.6640 0.2517
Cd2 0.3346 0.6698 0.7480


[4]
# NaPr6Cd5 GGA-PBE relaxed
# Electronic total energy, eV/atom: -3.108
# Formation energy, eV per atom: -0.227
data_NaPr6Cd5
_symmetry_space_group_name_H-M 'I m m m'
_symmetry_Int_Tables_number 71
_symmetry_space_group_name_Hall '-I 2 2'
_cell_length_a 5.5189
_cell_length_b 7.8234
_cell_length_c 16.5574
_cell_angle_alpha 90.00
_cell_angle_beta 90.00
_cell_angle_gamma 90.00
loop_
_atom_site_label
_atom_site_fract_x
_atom_site_fract_y
_atom_site_fract_z
Na1 0.0000 0.0000 0.0000
Pr1 0.0000 0.2386 0.5000
Pr2 0.0000 0.2552 0.1703
Cd1 0.0000 0.0000 0.3328
Cd2 0.0000 0.5000 0.0000
Cd3 0.0000 0.5000 0.3399


[5]
# NaPr2Cd4 GGA-PBE relaxed
# Electronic total energy, eV/atom: -2.330
# Formation energy, eV per atom: -0.253
data_NaPr2Cd4
_symmetry_space_group_name_H-M 'C 1 2/m 1'
_symmetry_Int_Tables_number 12
_cell_length_a 8.8791
_cell_length_b 5.1405
_cell_length_c 8.8249
_cell_angle_alpha 90.00
_cell_angle_beta 109.84
_cell_angle_gamma 90.00
loop_
_symmetry_equiv_pos_as_xyz
'x,y,z'
'-x,-y,-z'
'-x,y,-z'
'x,-y,z'
'x+1/2,y+1/2,z'
'-x+1/2,-y+1/2,-z'
'-x+1/2,y+1/2,-z'
'x+1/2,-y+1/2,z'
loop_
_atom_site_label
_atom_site_fract_x
_atom_site_fract_y
_atom_site_fract_z
Na1 0.0000 0.0000 0.0000
Pr1 0.0707 0.5000 0.7103
Cd1 0.1741 0.0000 0.5225
Cd2 0.1999 0.5000 0.1000


[6]
# NaPr2Cd GGA-PBE relaxed
# Polymorph energy (0 for the lowest one), kJ per mole of atoms: 10.0
# Electronic total energy, eV/atom: -2.875
# Formation energy, eV per atom: 0.074
data_NaPr2Cd
_symmetry_space_group_name_H-M 'R -3 m'
_symmetry_Int_Tables_number 166
_symmetry_space_group_name_Hall '-R 3 2"'
_cell_length_a 3.5724
_cell_length_b 3.5724
_cell_length_c 37.3813
_cell_angle_alpha 90.00
_cell_angle_beta 90.00
_cell_angle_gamma 120.00
loop_
_atom_site_label
_atom_site_fract_x
_atom_site_fract_y
_atom_site_fract_z
Na1 0.0000 0.0000 0.0000
Pr1 0.0000 0.0000 0.0970
Cd1 0.0000 0.0000 0.5000